[1]
DFT (PBE) results for a relaxed structure of LaHgBiPb.

The calculation puts the calculated density at 10.6 g cm⁻³. As for the spin magnetization: 0.0 μB per cell. The value obtained for the formation energy is -0.51 eV per atom. Its density of states at the Fermi level is 2.2 states/eV/cell.

It has space group Pmmm (No. 47), with a = 4.779 Å, b = 4.825 Å, c = 5.122 Å, α = 90.00°, β = 90.00° and γ = 90.00°. The distinct sites, in fractional coordinates, are La at (0.000, 0.000, 0.000), Hg at (0.000, 0.500, 0.500), Bi at (0.500, 0.500, 0.000) and Pb at (0.500, 0.000, 0.500).

[2]
DFT (PBE) results for a relaxed structure of La2HgBiPb.

The calculation puts the calculated density at 7.6 g cm⁻³. As for the spin magnetization: 0.0 μB per cell. The value obtained for the formation energy is 0.01 eV per atom. The value obtained for the energy above the most stable polymorph in this dataset is 0.000 eV per atom. Its density of states at the Fermi level is 6.1 states/eV/cell.

It has space group P4/mmm (No. 123), with a = 6.004 Å, b = 6.004 Å, c = 5.434 Å, α = 90.00°, β = 90.00° and γ = 90.00°. The distinct sites, in fractional coordinates, are La at (0.000, 0.500, 0.000), Hg at (0.000, 0.000, 0.000), Bi at (0.500, 0.500, 0.500) and Pb at (0.000, 0.000, 0.500).

[3]
DFT (PBE) results for a relaxed structure of La2HgBiPb.

The calculation puts the calculated density at 6.8 g cm⁻³. As for the spin magnetization: 0.0 μB per cell. The value obtained for the formation energy is 0.20 eV per atom. The value obtained for the energy above the most stable polymorph in this dataset is 0.188 eV per atom. Its density of states at the Fermi level is 5.2 states/eV/cell.

It has space group P4/mmm (No. 123), with a = 6.129 Å, b = 6.129 Å, c = 5.838 Å, α = 90.00°, β = 90.00° and γ = 90.00°. The distinct sites, in fractional coordinates, are La at (0.000, 0.500, 0.000), Hg at (0.000, 0.000, 0.500), Bi at (0.500, 0.500, 0.500) and Pb at (0.500, 0.500, 0.000).

[4]
DFT (PBE) results for a relaxed structure of LaHgBiPd.

The calculation puts the calculated density at 10.7 g cm⁻³. As for the spin magnetization: 0.0 μB per cell. The value obtained for the formation energy is -0.58 eV per atom. Its density of states at the Fermi level is 3.1 states/eV/cell.

It has space group F-43m (No. 216), with a = 7.400 Å, b = 7.400 Å, c = 7.400 Å, α = 90.00°, β = 90.00° and γ = 90.00°. The distinct sites, in fractional coordinates, are La at (0.000, 0.000, 0.000), Hg at (0.250, 0.250, 0.250), Bi at (0.000, 0.000, 0.500) and Pd at (0.250, 0.250, 0.750).

[5]
DFT (PBE) results for a relaxed structure of LaPuHgBi.

The calculation puts the calculated density at 11.0 g cm⁻³. As for the spin magnetization: 28.0 μB per cell. The value obtained for the formation energy is -0.43 eV per atom. Its density of states at the Fermi level is 49.6 states/eV/cell.

It has space group F-43m (No. 216), with a = 7.821 Å, b = 7.821 Å, c = 7.821 Å, α = 90.00°, β = 90.00° and γ = 90.00°. The distinct sites, in fractional coordinates, are La at (0.000, 0.000, 0.000), Pu at (0.000, 0.000, 0.500), Hg at (0.250, 0.250, 0.750) and Bi at (0.250, 0.250, 0.250).

[6]
DFT (PBE) results for a relaxed structure of La2HgBiRh.

The calculation puts the calculated density at 8.4 g cm⁻³. As for the spin magnetization: 0.0 μB per cell. The value obtained for the formation energy is -0.64 eV per atom. The value obtained for the energy above the most stable polymorph in this dataset is 0.000 eV per atom. Its density of states at the Fermi level is 2.1 states/eV/cell.

It has space group P4/mmm (No. 123), with a = 5.478 Å, b = 5.478 Å, c = 5.181 Å, α = 90.00°, β = 90.00° and γ = 90.00°. The distinct sites, in fractional coordinates, are La at (0.000, 0.500, 0.000), Hg at (0.000, 0.000, 0.500), Bi at (0.500, 0.500, 0.500) and Rh at (0.000, 0.000, 0.000).

[7]
DFT (PBE) results for a relaxed structure of La2HgBiRh.

The calculation puts the calculated density at 7.0 g cm⁻³. As for the spin magnetization: 0.4 μB per cell. The value obtained for the formation energy is 0.63 eV per atom. The value obtained for the energy above the most stable polymorph in this dataset is 1.269 eV per atom. Its density of states at the Fermi level is 6.5 states/eV/cell.

It has space group P4/mmm (No. 123), with a = 5.875 Å, b = 5.875 Å, c = 5.406 Å, α = 90.00°, β = 90.00° and γ = 90.00°. The distinct sites, in fractional coordinates, are La at (0.000, 0.500, 0.000), Hg at (0.000, 0.000, 0.000), Bi at (0.000, 0.000, 0.500) and Rh at (0.500, 0.500, 0.500).

[8]
DFT (PBE) results for a relaxed structure of LaScHgBi.

The calculation puts the calculated density at 8.9 g cm⁻³. As for the spin magnetization: 0.0 μB per cell. The value obtained for the formation energy is -0.49 eV per atom. Its density of states at the Fermi level is 16.6 states/eV/cell.

It has space group F-43m (No. 216), with a = 7.622 Å, b = 7.622 Å, c = 7.622 Å, α = 90.00°, β = 90.00° and γ = 90.00°. The distinct sites, in fractional coordinates, are La at (0.000, 0.000, 0.000), Sc at (0.000, 0.000, 0.500), Hg at (0.250, 0.250, 0.750) and Bi at (0.250, 0.250, 0.250).

[9]
DFT (PBE) results for a relaxed structure of SrLaHgBi.

The calculation puts the calculated density at 8.2 g cm⁻³. As for the spin magnetization: 0.0 μB per cell. The value obtained for the formation energy is -0.63 eV per atom. Its density of states at the Fermi level is 17.0 states/eV/cell.

It has space group F-43m (No. 216), with a = 8.033 Å, b = 8.033 Å, c = 8.033 Å, α = 90.00°, β = 90.00° and γ = 90.00°. The distinct sites, in fractional coordinates, are Sr at (0.000, 0.000, 0.000), La at (0.000, 0.000, 0.500), Hg at (0.250, 0.250, 0.750) and Bi at (0.250, 0.250, 0.250).

[10]
DFT (PBE) results for a relaxed structure of LaTbHgBi.

The calculation puts the calculated density at 10.0 g cm⁻³. As for the spin magnetization: 0.0 μB per cell. The value obtained for the formation energy is -0.57 eV per atom. Its density of states at the Fermi level is 15.2 states/eV/cell.

It has space group F-43m (No. 216), with a = 7.782 Å, b = 7.782 Å, c = 7.782 Å, α = 90.00°, β = 90.00° and γ = 90.00°. The distinct sites, in fractional coordinates, are La at (0.000, 0.000, 0.000), Tb at (0.000, 0.000, 0.500), Hg at (0.250, 0.250, 0.250) and Bi at (0.250, 0.250, 0.750).

[11]
DFT (PBE) results for a relaxed structure of LaThHgBi.

The calculation puts the calculated density at 10.7 g cm⁻³. As for the spin magnetization: 0.0 μB per cell. The value obtained for the formation energy is -0.43 eV per atom. Its density of states at the Fermi level is 23.2 states/eV/cell.

It has space group F-43m (No. 216), with a = 7.861 Å, b = 7.861 Å, c = 7.861 Å, α = 90.00°, β = 90.00° and γ = 90.00°. The distinct sites, in fractional coordinates, are La at (0.000, 0.000, 0.000), Th at (0.000, 0.000, 0.500), Hg at (0.250, 0.250, 0.750) and Bi at (0.250, 0.250, 0.250).

[12]
DFT (PBE) results for a relaxed structure of LaTlHgBi.

The calculation puts the calculated density at 10.5 g cm⁻³. As for the spin magnetization: 0.0 μB per cell. The value obtained for the formation energy is -0.50 eV per atom. The value obtained for the energy above the most stable polymorph in this dataset is 0.000 eV per atom. Its density of states at the Fermi level is 2.5 states/eV/cell.

It has space group Pmmm (No. 47), with a = 4.656 Å, b = 4.869 Å, c = 5.232 Å, α = 90.00°, β = 90.00° and γ = 90.00°. The distinct sites, in fractional coordinates, are La at (0.000, 0.000, 0.000), Tl at (0.000, 0.500, 0.500), Hg at (0.500, 0.000, 0.500) and Bi at (0.500, 0.500, 0.000).

[13]
DFT (PBE) results for a relaxed structure of LaTlHgBi.

The calculation puts the calculated density at 10.1 g cm⁻³. As for the spin magnetization: 0.0 μB per cell. The value obtained for the formation energy is -0.39 eV per atom. The value obtained for the energy above the most stable polymorph in this dataset is 0.107 eV per atom. Its density of states at the Fermi level is 12.0 states/eV/cell.

It has space group F-43m (No. 216), with a = 7.899 Å, b = 7.899 Å, c = 7.899 Å, α = 90.00°, β = 90.00° and γ = 90.00°. The distinct sites, in fractional coordinates, are La at (0.000, 0.000, 0.000), Tl at (0.000, 0.000, 0.500), Hg at (0.250, 0.250, 0.750) and Bi at (0.250, 0.250, 0.250).

Number 1: E_tot -3.71 eV per atom. Number 2: E_tot -3.54 eV per atom. Number 3: E_tot -3.35 eV per atom. Number 4: E_tot -4.16 eV per atom. Number 5: E_tot -6.29 eV per atom. Number 6: E_tot -4.92 eV per atom. Number 7: E_tot -3.65 eV per atom. Number 8: E_tot -4.35 eV per atom. Number 9: E_tot -3.33 eV per atom. Number 10: E_tot -4.01 eV per atom. Number 11: E_tot -4.56 eV per atom. Number 12: E_tot -3.37 eV per atom. Number 13: E_tot -3.26 eV per atom.